1.
Computed, not measured: a relaxed KSnSb2I crystal at the GGA-PBE level of DFT.

The total magnetization comes out at 0.92 Bohr magnetons per cell. The value obtained for the density of states at the Fermi level is 4.74 states/eV/cell. The formation energy without anion corrections is 39 meV per atom. Its symmetry is No. 123. Its crystal system is tetragonal.

abc: 5.721 5.721 6.615
angles: 90.00 90.00 90.00
Positions (direct):
1 K 0.000 0.000 0.000
2 Sn 0.500 0.500 0.500
3 Sb 0.000 0.500 0.500
4 Sb 0.500 0.000 0.500
5 I 0.500 0.500 0.000

2.
Computed, not measured: a relaxed KSr2SbI8 crystal at the GGA-PBE level of DFT.

The total magnetization comes out at 0.00 Bohr magnetons per cell. The value obtained for the density of states at the Fermi level is 0.00 states/eV/cell. The formation energy without anion corrections is -1160 meV per atom. Its symmetry is No. 10. Its crystal system is monoclinic.

abc: 7.400 9.996 7.749
angles: 90.00 90.08 90.00
Positions (direct):
1 K 0.000 0.000 0.000
2 Sr 0.500 0.251 0.500
3 Sr 0.500 0.749 0.500
4 Sb 0.000 0.500 0.000
5 I 0.238 0.500 0.667
6 I 0.241 0.282 0.149
7 I 0.241 0.718 0.149
8 I 0.262 0.000 0.638
9 I 0.738 0.000 0.362
10 I 0.759 0.282 0.851
11 I 0.759 0.718 0.851
12 I 0.762 0.500 0.333

3.
Computed, not measured: a relaxed KSrSbI2 crystal at the GGA-PBE level of DFT.

The total magnetization comes out at 2.00 Bohr magnetons per cell. The value obtained for the density of states at the Fermi level is 1.66 states/eV/cell. The formation energy without anion corrections is -806 meV per atom. Its symmetry is No. 123. Its crystal system is tetragonal.

abc: 6.464 6.464 6.595
angles: 90.00 90.00 90.00
Positions (direct):
1 K 0.000 0.000 0.000
2 Sr 0.500 0.500 0.500
3 Sb 0.500 0.500 0.000
4 I 0.000 0.500 0.500
5 I 0.500 0.000 0.500

4.
Computed, not measured: a relaxed KSrSbI2 crystal at the GGA-PBE level of DFT.

The total magnetization comes out at 2.01 Bohr magnetons per cell. The value obtained for the density of states at the Fermi level is 3.12 states/eV/cell. The formation energy without anion corrections is -349 meV per atom. Its symmetry is No. 123. Its crystal system is tetragonal.

abc: 6.196 6.196 6.405
angles: 90.00 90.00 90.00
Positions (direct):
1 K 0.000 0.000 0.000
2 Sr 0.500 0.500 0.500
3 Sb 0.000 0.000 0.500
4 I 0.000 0.500 0.000
5 I 0.500 0.000 0.000

5.
Computed, not measured: a relaxed KTcSbI2 crystal at the GGA-PBE level of DFT.

The total magnetization comes out at 1.76 Bohr magnetons per cell. The value obtained for the density of states at the Fermi level is 3.08 states/eV/cell. The formation energy without anion corrections is -77 meV per atom. Its symmetry is No. 123. Its crystal system is tetragonal.

abc: 5.881 5.881 5.097
angles: 90.00 90.00 90.00
Positions (direct):
1 K 0.000 0.000 0.000
2 Tc 0.500 0.500 0.500
3 Sb 0.500 0.500 0.000
4 I 0.000 0.500 0.500
5 I 0.500 0.000 0.500

6.
Computed, not measured: a relaxed KTcSbI2 crystal at the GGA-PBE level of DFT.

The total magnetization comes out at 7.33 Bohr magnetons per cell. The value obtained for the density of states at the Fermi level is 5.06 states/eV/cell. The formation energy without anion corrections is 1245 meV per atom. Its symmetry is No. 123. Its crystal system is tetragonal.

abc: 6.299 6.299 6.423
angles: 90.00 90.00 90.00
Positions (direct):
1 K 0.000 0.000 0.000
2 Tc 0.500 0.500 0.500
3 Sb 0.000 0.000 0.500
4 I 0.000 0.500 0.000
5 I 0.500 0.000 0.000

7.
Computed, not measured: a relaxed KSbTeI2 crystal at the GGA-PBE level of DFT.

The total magnetization comes out at 2.85 Bohr magnetons per cell. The value obtained for the density of states at the Fermi level is 5.73 states/eV/cell. The formation energy without anion corrections is 547 meV per atom. Its symmetry is No. 123. Its crystal system is tetragonal.

abc: 6.153 6.153 7.120
angles: 90.00 90.00 90.00
Positions (direct):
1 K 0.000 0.000 0.000
2 Sb 0.000 0.000 0.500
3 Te 0.500 0.500 0.500
4 I 0.000 0.500 0.000
5 I 0.500 0.000 0.000

8.
Computed, not measured: a relaxed KSbTeI2 crystal at the GGA-PBE level of DFT.

The total magnetization comes out at 0.00 Bohr magnetons per cell. The value obtained for the density of states at the Fermi level is 10.05 states/eV/cell. The formation energy without anion corrections is 511 meV per atom. Its symmetry is No. 123. Its crystal system is tetragonal.

abc: 6.098 6.098 6.316
angles: 90.00 90.00 90.00
Positions (direct):
1 K 0.000 0.000 0.000
2 Sb 0.500 0.500 0.500
3 Te 0.000 0.000 0.500
4 I 0.000 0.500 0.000
5 I 0.500 0.000 0.000

9.
Computed, not measured: a relaxed KSbTeI2 crystal at the GGA-PBE level of DFT.

The total magnetization comes out at 0.00 Bohr magnetons per cell. The value obtained for the density of states at the Fermi level is 1.45 states/eV/cell. The formation energy without anion corrections is -494 meV per atom. Its symmetry is No. 123. Its crystal system is tetragonal.

abc: 6.202 6.202 5.773
angles: 90.00 90.00 90.00
Positions (direct):
1 K 0.000 0.000 0.000
2 Sb 0.500 0.500 0.500
3 Te 0.500 0.500 0.000
4 I 0.000 0.500 0.500
5 I 0.500 0.000 0.500

10.
Computed, not measured: a relaxed KSbTeI2 crystal at the GGA-PBE level of DFT.

The total magnetization comes out at 0.00 Bohr magnetons per cell. The value obtained for the density of states at the Fermi level is 3.14 states/eV/cell. The formation energy without anion corrections is -175 meV per atom. Its symmetry is No. 123. Its crystal system is tetragonal.

abc: 6.423 6.423 5.727
angles: 90.00 90.00 90.00
Positions (direct):
1 K 0.000 0.000 0.000
2 Sb 0.500 0.500 0.000
3 Te 0.500 0.500 0.500
4 I 0.000 0.500 0.500
5 I 0.500 0.000 0.500

11.
Computed, not measured: a relaxed KTiSbI2 crystal at the GGA-PBE level of DFT.

The total magnetization comes out at 0.38 Bohr magnetons per cell. The value obtained for the density of states at the Fermi level is 3.57 states/eV/cell. The formation energy without anion corrections is -505 meV per atom. Its symmetry is No. 123. Its crystal system is tetragonal.

abc: 5.808 5.808 5.331
angles: 90.00 90.00 90.00
Positions (direct):
1 K 0.000 0.000 0.000
2 Ti 0.500 0.500 0.500
3 Sb 0.500 0.500 0.000
4 I 0.000 0.500 0.500
5 I 0.500 0.000 0.500

12.
Computed, not measured: a relaxed KTiSbI2 crystal at the GGA-PBE level of DFT.

The total magnetization comes out at 4.56 Bohr magnetons per cell. The value obtained for the density of states at the Fermi level is 5.97 states/eV/cell. The formation energy without anion corrections is 793 meV per atom. Its symmetry is No. 123. Its crystal system is tetragonal.

abc: 6.204 6.204 6.369
angles: 90.00 90.00 90.00
Positions (direct):
1 K 0.000 0.000 0.000
2 Ti 0.500 0.500 0.500
3 Sb 0.000 0.000 0.500
4 I 0.000 0.500 0.000
5 I 0.500 0.000 0.000

13.
Computed, not measured: a relaxed KTlSb2I crystal at the GGA-PBE level of DFT.

The total magnetization comes out at 1.30 Bohr magnetons per cell. The value obtained for the density of states at the Fermi level is 4.14 states/eV/cell. The formation energy without anion corrections is 105 meV per atom. Its symmetry is No. 123. Its crystal system is tetragonal.

abc: 5.738 5.738 6.913
angles: 90.00 90.00 90.00
Positions (direct):
1 K 0.000 0.000 0.000
2 Tl 0.500 0.500 0.500
3 Sb 0.000 0.500 0.500
4 Sb 0.500 0.000 0.500
5 I 0.500 0.500 0.000

14.
Computed, not measured: a relaxed KTlSb2I crystal at the GGA-PBE level of DFT.

The total magnetization comes out at 2.98 Bohr magnetons per cell. The value obtained for the density of states at the Fermi level is 3.13 states/eV/cell. The formation energy without anion corrections is 575 meV per atom. Its symmetry is No. 123. Its crystal system is tetragonal.

abc: 6.246 6.246 6.466
angles: 90.00 90.00 90.00
Positions (direct):
1 K 0.000 0.000 0.000
2 Tl 0.500 0.500 0.500
3 Sb 0.000 0.500 0.000
4 Sb 0.500 0.000 0.000
5 I 0.000 0.000 0.500

15.
Computed, not measured: a relaxed K2TlSbI6 crystal at the GGA-PBE level of DFT.

The total magnetization comes out at 0.00 Bohr magnetons per cell. The value obtained for the density of states at the Fermi level is 0.00 states/eV/cell. The formation energy without anion corrections is -853 meV per atom. Its symmetry is No. 146. Its crystal system is trigonal.

abc: 8.980 8.980 8.980
angles: 57.64 57.64 57.64
Positions (direct):
1 K 0.000 0.000 0.000
2 K 0.489 0.489 0.489
3 Tl 0.201 0.201 0.201
4 Sb 0.694 0.694 0.694
5 I 0.036 0.456 0.820
6 I 0.346 0.908 0.580
7 I 0.456 0.820 0.036
8 I 0.580 0.346 0.908
9 I 0.820 0.036 0.456
10 I 0.908 0.580 0.346

16.
Computed, not measured: a relaxed KVSbI6 crystal at the GGA-PBE level of DFT.

The total magnetization comes out at 3.00 Bohr magnetons per cell. The formation energy without anion corrections is -612 meV per atom. Its symmetry is No. 149. Its crystal system is trigonal.

abc: 7.677 7.677 7.769
angles: 90.00 90.00 120.00
Positions (direct):
1 K 0.000 0.000 0.000
2 V 0.667 0.333 0.500
3 Sb 0.333 0.667 0.500
4 I 0.380 0.021 0.284
5 I 0.380 0.359 0.716
6 I 0.641 0.021 0.716
7 I 0.641 0.620 0.284
8 I 0.979 0.359 0.284
9 I 0.979 0.620 0.716

17.
Computed, not measured: a relaxed KVSbI2 crystal at the GGA-PBE level of DFT.

The total magnetization comes out at 1.33 Bohr magnetons per cell. The value obtained for the density of states at the Fermi level is 2.14 states/eV/cell. The formation energy without anion corrections is -317 meV per atom. Its symmetry is No. 123. Its crystal system is tetragonal.

abc: 5.849 5.849 5.221
angles: 90.00 90.00 90.00
Positions (direct):
1 K 0.000 0.000 0.000
2 V 0.500 0.500 0.500
3 Sb 0.500 0.500 0.000
4 I 0.000 0.500 0.500
5 I 0.500 0.000 0.500

18.
Computed, not measured: a relaxed KVSbI2 crystal at the GGA-PBE level of DFT.

The total magnetization comes out at 6.64 Bohr magnetons per cell. The value obtained for the density of states at the Fermi level is 6.59 states/eV/cell. The formation energy without anion corrections is 914 meV per atom. Its symmetry is No. 123. Its crystal system is tetragonal.

abc: 6.406 6.406 6.452
angles: 90.00 90.00 90.00
Positions (direct):
1 K 0.000 0.000 0.000
2 V 0.500 0.500 0.500
3 Sb 0.000 0.000 0.500
4 I 0.000 0.500 0.000
5 I 0.500 0.000 0.000

19.
Computed, not measured: a relaxed KSbWI2 crystal at the GGA-PBE level of DFT.

The total magnetization comes out at 7.99 Bohr magnetons per cell. The value obtained for the density of states at the Fermi level is 12.29 states/eV/cell. The formation energy without anion corrections is 1669 meV per atom. Its symmetry is No. 123. Its crystal system is tetragonal.

abc: 6.498 6.498 6.484
angles: 90.00 90.00 90.00
Positions (direct):
1 K 0.000 0.000 0.000
2 Sb 0.000 0.000 0.500
3 W 0.500 0.500 0.500
4 I 0.000 0.500 0.000
5 I 0.500 0.000 0.000

20.
Computed, not measured: a relaxed KSbWI2 crystal at the GGA-PBE level of DFT.

The total magnetization comes out at 1.89 Bohr magnetons per cell. The value obtained for the density of states at the Fermi level is 2.55 states/eV/cell. The formation energy without anion corrections is 137 meV per atom. Its symmetry is No. 123. Its crystal system is tetragonal.

abc: 5.930 5.930 5.232
angles: 90.00 90.00 90.00
Positions (direct):
1 K 0.000 0.000 0.000
2 Sb 0.500 0.500 0.000
3 W 0.500 0.500 0.500
4 I 0.000 0.500 0.500
5 I 0.500 0.000 0.500